A plane-wave DFT calculation with PBE with a Hubbard U was carried out for a relaxed HgMoIrO6 crystal.

It has space group P312 (No. 149), with a = 5.2961 Å, b = 5.2961 Å, c = 4.9787 Å, α = 90.00°, β = 90.00° and γ = 120.00°. The inequivalent atoms are Hg at (0.0000, 0.0000, 0.0000), Mo at (0.3333, 0.6667, 0.5000), Ir at (0.6667, 0.3333, 0.5000) and O at (0.0064, 0.3756, 0.7152).

As for the total energy: -53.9 eV/cell. As for the spin magnetization: 0.1162 μB/atom.